A geometry-optimized Na2SrRh3O8 structure. Source: Alexandria, functional GGA-PBE.

Unit cell a=6.5871 b=6.5871 c=6.5871 alpha=57.79 beta=57.79 gamma=57.79
With the nearest neighbours (Å) after each atom.
Sites, in units of the cell vectors:
Na (0.0000, 0.0000, 0.0000)  6 O 2.35-2.38
Na (0.3773, 0.3773, 0.3773)  4 O 2.27-2.43
Sr (0.6219, 0.6219, 0.6219)  4 O 2.32-2.43
Rh (0.4956, 0.9993, 0.9993)  6 O 2.00-2.11
Rh (0.9993, 0.4956, 0.9993)  6 O 2.00-2.11
Rh (0.9993, 0.9993, 0.4956)  6 O 2.00-2.11
O (0.1817, 0.7504, 0.7504)  2 Rh 2.02
O (0.2290, 0.2290, 0.2290)  3 Rh 2.11
O (0.2541, 0.2541, 0.8070)  2 Rh 2.00
O (0.2541, 0.8070, 0.2541)  2 Rh 2.00
O (0.7504, 0.1817, 0.7504)  2 Rh 2.02
O (0.7504, 0.7504, 0.1817)  2 Rh 2.02
O (0.7699, 0.7699, 0.7699)  3 Rh 2.11
O (0.8070, 0.2541, 0.2541)  2 Rh 2.00

The uncorrected formation energy comes out at -1.228 eV per atom. The value obtained for the total energy is -83.23 eV/cell.

=====

A geometry-optimized La2Tb6CeHo3 structure. Source: Alexandria, functional GGA-PBE.

Unit cell a=6.2040 b=6.2040 c=11.8586 alpha=95.01 beta=95.01 gamma=120.04
With the nearest neighbours (Å) after each atom.
Sites, in units of the cell vectors:
La (0.1664, 0.8336, 0.0000)  3 La 3.58, 3 Ce 3.58-3.59, 6 Tb 3.62
La (0.8336, 0.1664, 0.0000)  3 La 3.58, 3 Ce 3.58-3.59, 6 Tb 3.62
Tb (0.0850, 0.4153, 0.7461)  3 Ho 3.53-3.55, 6 Tb 3.55-3.60, 1 Ce 3.60, 2 La 3.62
Tb (0.2544, 0.2544, 0.2542)  3 Ho 3.53-3.55, 6 Tb 3.55-3.60, 1 Ce 3.61, 2 La 3.62
Tb (0.4153, 0.0850, 0.7461)  3 Ho 3.53-3.55, 6 Tb 3.55-3.60, 1 Ce 3.60, 2 La 3.62
Tb (0.5847, 0.9150, 0.2539)  3 Ho 3.53-3.55, 6 Tb 3.55-3.60, 1 Ce 3.60, 2 La 3.62
Tb (0.7456, 0.7456, 0.7458)  3 Ho 3.53-3.55, 6 Tb 3.55-3.60, 1 Ce 3.61, 2 La 3.62
Tb (0.9150, 0.5847, 0.2539)  3 Ho 3.53-3.55, 6 Tb 3.55-3.60, 1 Ce 3.60, 2 La 3.62
Ce (0.5000, 0.5000, 0.0000)  6 La 3.58-3.59, 6 Tb 3.60-3.61
Ho (0.0000, 0.0000, 0.5000)  6 Tb 3.53-3.55, 6 Ho 3.58
Ho (0.3333, 0.6667, 0.5000)  6 Tb 3.53-3.55, 6 Ho 3.58
Ho (0.6667, 0.3333, 0.5000)  6 Tb 3.53-3.55, 6 Ho 3.58

The value obtained for the total energy is -56.82 eV/cell. For the formation energy, the calculation gives 0.04 eV/atom.

=====

A geometry-optimized SnAsSBr2 structure. Source: Alexandria, functional GGA-PBE.

Unit cell a=5.1547 b=5.1547 c=5.0337 alpha=90.00 beta=90.00 gamma=90.00
With the nearest neighbours (Å) after each atom.
Sites, in units of the cell vectors:
Sn (0.0000, 0.0000, 0.0000)  8 Br 3.60, 4 As 3.64
As (0.5000, 0.5000, 0.0000)  2 S 2.52
S (0.5000, 0.5000, 0.5000)  2 As 2.52, 4 Br 2.58
Br (0.0000, 0.5000, 0.5000)  2 S 2.58
Br (0.5000, 0.0000, 0.5000)  2 S 2.58

The uncorrected formation energy comes out at 0.361 eV per atom. As for the energy above the most stable polymorph in this dataset: 0 meV per atom. The value obtained for the total energy is -14.32 eV/cell.

=====

A geometry-optimized VGaSe2Br structure. Source: Alexandria, functional GGA-PBE.

Unit cell a=4.8205 b=4.8205 c=5.4514 alpha=90.00 beta=90.00 gamma=90.00
With the nearest neighbours (Å) after each atom.
Sites, in units of the cell vectors:
V (0.0000, 0.0000, 0.0000)  4 Se 2.41
Ga (0.5000, 0.5000, 0.5000)  4 Br 3.41, 8 Se 3.64
Se (0.0000, 0.5000, 0.0000)  2 V 2.41
Se (0.5000, 0.0000, 0.0000)  2 V 2.41
Br (0.0000, 0.0000, 0.5000)  2 V 2.73

The uncorrected formation energy comes out at -0.286 eV per atom. As for the energy above the most stable polymorph in this dataset: 0 meV per atom. The value obtained for the total energy is -22.22 eV/cell.

=====

A geometry-optimized TbPm2Sc structure. Source: Alexandria, functional GGA-PBE.

Unit cell a=3.5776 b=3.5776 c=9.7287 alpha=90.00 beta=90.00 gamma=90.00
With the nearest neighbours (Å) after each atom.
Sites, in units of the cell vectors:
Tb (0.0000, 0.0000, 0.0000)  4 Tb 3.58, 8 Pm 3.59
Pm (0.5000, 0.5000, 0.2621)  4 Sc 3.43, 4 Pm 3.58, 4 Tb 3.59
Pm (0.5000, 0.5000, 0.7379)  4 Sc 3.43, 4 Pm 3.58, 4 Tb 3.59
Sc (0.0000, 0.0000, 0.5000)  8 Pm 3.43, 4 Sc 3.58

As for the energy above the most stable polymorph in this dataset: 2 meV per atom. The value obtained for the total energy is -20.30 eV/cell. For the formation energy, the calculation gives 0.04 eV/atom.

=====

A geometry-optimized FeTeC3 structure. Source: Alexandria, functional GGA-PBE.

Unit cell a=3.8786 b=3.8786 c=3.8786 alpha=90.00 beta=90.00 gamma=90.00
With the nearest neighbours (Å) after each atom.
Sites, in units of the cell vectors:
Fe (0.0000, 0.0000, 0.0000)  6 C 1.94
Te (0.5000, 0.5000, 0.5000)  12 C 2.74
C (0.0000, 0.0000, 0.5000)  2 Fe 1.94
C (0.0000, 0.5000, 0.0000)  2 Fe 1.94
C (0.5000, 0.0000, 0.0000)  2 Fe 1.94

The uncorrected formation energy comes out at 2.056 eV per atom. As for the energy above the most stable polymorph in this dataset: 0 meV per atom. The value obtained for the total energy is -29.00 eV/cell.